# 1
Computed, not measured: a relaxed Li8Zn6Ru crystal at the PBE-GGA level of DFT.

Properties
Formation energy ... -0.1171 eV per atom
SG ... No. 148
DOS at the Fermi energy ... 0.42 states/eV per atom

The structure in POSCAR format:
```
Li8Zn6Ru
1.0
6.041 -0.372 2.225
1.425 5.882 2.225
-0.504 -0.372 6.418
Li Zn Ru
8 6 1
Cartesian
1.037 3.805 6.419 Li
2.779 5.269 4.605 Li
1.735 1.102 7.243 Li
4.217 3.112 6.583 Li
2.745 2.026 4.285 Li
5.227 4.036 3.625 Li
4.183 -0.131 6.264 Li
5.925 1.333 4.450 Li
0.165 1.696 5.009 Zn
3.109 5.480 7.258 Zn
4.020 1.355 8.624 Zn
2.941 3.782 2.244 Zn
3.852 -0.342 3.610 Zn
6.797 3.442 5.859 Zn
0.000 0.000 0.000 Ru
```

=====

# 2
Computed, not measured: a relaxed DyZrCoRu crystal at the PBE-GGA level of DFT.

Properties
Formation energy ... -0.3385 eV per atom
SG ... No. 216
DOS at the Fermi energy ... 0.39 states/eV per atom

The structure in POSCAR format:
```
DyZrCoRu
1.0
4.672 0.000 0.000
2.336 4.046 0.000
2.336 1.349 3.815
Ru Co Zr Dy
1 1 1 1
Cartesian
0.000 0.000 0.000 Ru
4.672 2.698 1.907 Co
2.336 1.349 0.954 Zr
7.008 4.046 2.861 Dy
```

=====

# 3
Computed, not measured: a relaxed Dy6ThSc2 crystal at the PBE-GGA level of DFT.

Properties
Relative energy among the computed polymorphs ... 0.0000 eV/atom
Formation energy ... 0.1325 eV per atom
SG ... No. 12
DOS at the Fermi energy ... 1.76 states/eV per atom

The structure in POSCAR format:
```
Dy6ThSc2
1.0
3.502 0.568 -0.021
-0.600 8.404 -4.891
0.987 -0.851 9.654
Dy Th Sc
6 1 2
Cartesian
2.712 4.516 -0.916 Dy
1.177 3.605 5.659 Dy
2.627 5.420 3.162 Dy
3.250 1.378 4.015 Dy
0.639 6.743 0.728 Dy
1.262 2.701 1.581 Dy
0.000 0.000 0.000 Th
1.409 7.184 -2.537 Sc
2.480 0.937 7.280 Sc
```

=====

# 4
Computed, not measured: a relaxed ZnOsPt2 crystal at the PBE-GGA level of DFT.

Properties
Formation energy ... 0.1107 eV per atom
SG ... No. 35
DOS at the Fermi energy ... 1.13 states/eV per atom

The structure in POSCAR format:
```
ZnOsPt2
1.0
-0.529 2.145 -1.625
-0.643 -2.533 -0.834
-8.410 0.859 3.872
Os Pt Zn
1 2 1
Cartesian
-6.826 0.443 1.643 Os
-8.368 0.855 3.852 Pt
-2.790 0.031 -0.215 Pt
-4.213 0.430 1.940 Zn
```

=====

# 5
Computed, not measured: a relaxed La2Tb3Dy6Th crystal at the PBE-GGA level of DFT.

Properties
Formation energy ... 0.0280 eV per atom
SG ... No. 12
DOS at the Fermi energy ... 1.40 states/eV per atom

The structure in POSCAR format:
```
La2Tb3Dy6Th
1.0
6.223 0.001 0.007
-3.109 5.391 0.007
-1.050 -1.818 11.613
La Tb Dy Th
2 3 6 1
Cartesian
0.003 3.594 0.007 La
3.111 1.798 0.007 La
-2.077 3.582 5.814 Tb
4.141 -0.008 5.814 Tb
1.032 1.787 5.814 Tb
3.087 1.804 8.702 Dy
2.090 3.619 2.932 Dy
-1.023 1.771 2.925 Dy
0.019 3.576 8.702 Dy
-0.026 -0.045 8.695 Dy
2.045 -0.001 2.925 Dy
0.000 0.000 0.000 Th
```

=====

# 6
Computed, not measured: a relaxed CaSc2Te2 crystal at the PBE-GGA level of DFT.

Properties
Relative energy among the computed polymorphs ... 0.2520 eV/atom
Uncorrected formation energy ... -3.23 eV/f.u.
SG ... No. 139
DOS at the Fermi energy ... 0.78 states/eV per atom

The structure in POSCAR format:
```
CaSc2Te2
1.0
-1.992 -3.086 4.111
-3.334 -2.580 -3.552
0.796 -6.165 -0.546
Sc Ca Te
2 1 2
Cartesian
-1.643 -3.815 0.036 Sc
-2.887 -8.015 -0.023 Sc
0.000 0.000 0.000 Ca
-1.930 -6.042 1.922 Te
-2.601 -5.789 -1.909 Te
```